Version P
VASP calculation (PBE-GGA) on an optimized crystal structure of Hf2FeCo.

Cell and atoms, written as CIF:
```
data_Hf2FeCo
_cell_length_a 3.0137
_cell_length_b 3.0137
_cell_length_c 26.3791
_cell_angle_alpha 90.00
_cell_angle_beta 90.00
_cell_angle_gamma 120.00
_symmetry_space_group_name_H-M 'R -3 m'
_symmetry_Int_Tables_number 166
_symmetry_space_group_name_Hall '-R 3 2"'
loop_
_atom_site_label
_atom_site_type_symbol
_atom_site_fract_x
_atom_site_fract_y
_atom_site_fract_z
Hf1 Hf 0.0000 0.0000 0.0906
Fe1 Fe 0.0000 0.0000 0.5000
Co1 Co 0.0000 0.0000 0.0000
```

Computed properties:
Density of states at the Fermi level   9.73 states/eV/cell

***

Version Q
VASP calculation (PBE-GGA) on an optimized crystal structure of Hf2FeCo.

Cell and atoms, written as CIF:
```
data_Hf2FeCo
_cell_length_a 3.152
_cell_length_b 3.152
_cell_length_c 6.258
_cell_angle_alpha 90.00
_cell_angle_beta 90.00
_cell_angle_gamma 90.00
_symmetry_space_group_name_H-M 'P 4/m m m'
_symmetry_Int_Tables_number 123
_symmetry_space_group_name_Hall '-P 4 2'
loop_
_atom_site_label
_atom_site_type_symbol
_atom_site_fract_x
_atom_site_fract_y
_atom_site_fract_z
Hf1 Hf 0.000 0.000 0.248
Fe1 Fe 0.500 0.500 0.000
Co1 Co 0.500 0.500 0.500
```

Computed properties:
Density of states at the Fermi level   1.60 states/eV/cell

***

The data favor version Q; the next most stable structure lies 79.1 kJ/mol of atoms above it.

***

Version P
VASP calculation (PBE-GGA) on an optimized crystal structure of Hf2FeCo.

Cell and atoms, written as CIF:
```
data_Hf2FeCo
_cell_length_a 6.739
_cell_length_b 6.739
_cell_length_c 5.786
_cell_angle_alpha 90.00
_cell_angle_beta 90.00
_cell_angle_gamma 90.00
_symmetry_space_group_name_H-M 'I -4 2 d'
_symmetry_Int_Tables_number 122
_symmetry_space_group_name_Hall 'I -4 2bw'
loop_
_atom_site_label
_atom_site_type_symbol
_atom_site_fract_x
_atom_site_fract_y
_atom_site_fract_z
Hf1 Hf 0.250 0.250 0.125
Fe1 Fe 0.000 0.000 0.000
Co1 Co 0.000 0.000 0.500
```

Computed properties:
Density of states at the Fermi level   12.13 states/eV/cell

***

Version Q
VASP calculation (PBE-GGA) on an optimized crystal structure of Hf2FeCo.

Cell and atoms, written as CIF:
```
data_Hf2FeCo
_cell_length_a 2.867
_cell_length_b 4.939
_cell_length_c 9.927
_cell_angle_alpha 90.00
_cell_angle_beta 90.00
_cell_angle_gamma 90.00
_symmetry_space_group_name_H-M 'I m m m'
_symmetry_Int_Tables_number 71
_symmetry_space_group_name_Hall '-I 2 2'
loop_
_atom_site_label
_atom_site_type_symbol
_atom_site_fract_x
_atom_site_fract_y
_atom_site_fract_z
Hf1 Hf 0.000 0.000 0.241
Fe1 Fe 0.000 0.000 0.500
Co1 Co 0.000 0.000 0.000
```

Computed properties:
Density of states at the Fermi level   7.25 states/eV/cell

***

The data favor version P; the next most stable structure lies 47.1 kJ/mol of atoms above it.

***

Version P
VASP calculation (PBE-GGA) on an optimized crystal structure of Hf4Fe2Co.

Cell and atoms, written as CIF:
```
data_Hf4Fe2Co
_cell_length_a 6.236
_cell_length_b 6.236
_cell_length_c 6.205
_cell_angle_alpha 90.00
_cell_angle_beta 90.00
_cell_angle_gamma 90.00
_symmetry_space_group_name_H-M 'I 4/m m m'
_symmetry_Int_Tables_number 139
_symmetry_space_group_name_Hall '-I 4 2'
loop_
_atom_site_label
_atom_site_type_symbol
_atom_site_fract_x
_atom_site_fract_y
_atom_site_fract_z
Hf1 Hf 0.250 0.250 0.250
Fe1 Fe 0.000 0.500 0.000
Co1 Co 0.000 0.000 0.000
```

Computed properties:
Density of states at the Fermi level   11.70 states/eV/cell

***

Version Q
VASP calculation (PBE-GGA) on an optimized crystal structure of Hf4Fe2Co.

Cell and atoms, written as CIF:
```
data_Hf4Fe2Co
_cell_length_a 4.718
_cell_length_b 4.718
_cell_length_c 12.276
_cell_angle_alpha 90.00
_cell_angle_beta 90.00
_cell_angle_gamma 90.00
_symmetry_space_group_name_H-M 'I 4/m m m'
_symmetry_Int_Tables_number 139
_symmetry_space_group_name_Hall '-I 4 2'
loop_
_atom_site_label
_atom_site_type_symbol
_atom_site_fract_x
_atom_site_fract_y
_atom_site_fract_z
Hf1 Hf 0.000 0.000 0.200
Hf2 Hf 0.000 0.500 0.000
Fe1 Fe 0.000 0.000 0.396
Co1 Co 0.000 0.000 0.000
```

Computed properties:
Density of states at the Fermi level   16.94 states/eV/cell

***

The data favor version P; the next most stable structure lies 57.0 kJ/mol of atoms above it.

***

Version P
VASP calculation (PBE-GGA) on an optimized crystal structure of Hf3FeCo.

Cell and atoms, written as CIF:
```
data_Hf3FeCo
_cell_length_a 7.708
_cell_length_b 5.490
_cell_length_c 9.052
_cell_angle_alpha 90.00
_cell_angle_beta 114.29
_cell_angle_gamma 90.00
_symmetry_space_group_name_H-M 'P 1 21/c 1'
_symmetry_Int_Tables_number 14
loop_
_symmetry_equiv_pos_as_xyz
'x,y,z'
'-x,-y,-z'
'-x,y+1/2,-z+1/2'
'x,-y+1/2,z+1/2'
loop_
_atom_site_label
_atom_site_type_symbol
_atom_site_fract_x
_atom_site_fract_y
_atom_site_fract_z
Hf1 Hf 0.121 0.009 0.298
Hf2 Hf 0.298 0.009 0.029
Hf3 Hf 0.307 0.505 0.192
Fe1 Fe 0.458 0.168 0.422
Co1 Co 0.006 0.749 0.006
```

Computed properties:
Density of states at the Fermi level   19.57 states/eV/cell

***

Version Q
VASP calculation (PBE-GGA) on an optimized crystal structure of Hf3FeCo.

Cell and atoms, written as CIF:
```
data_Hf3FeCo
_cell_length_a 4.684
_cell_length_b 4.684
_cell_length_c 4.684
_cell_angle_alpha 90.00
_cell_angle_beta 90.00
_cell_angle_gamma 90.00
_symmetry_space_group_name_H-M 'P m -3 m'
_symmetry_Int_Tables_number 221
_symmetry_space_group_name_Hall '-P 4 2 3'
loop_
_atom_site_label
_atom_site_type_symbol
_atom_site_fract_x
_atom_site_fract_y
_atom_site_fract_z
Hf1 Hf 0.000 0.000 0.500
Fe1 Fe 0.000 0.000 0.000
Co1 Co 0.500 0.500 0.500
```

Computed properties:
Density of states at the Fermi level   6.65 states/eV/cell

***

The data favor version P; the next most stable structure lies 74.1 kJ/mol of atoms above it.

***

Version P
VASP calculation (PBE-GGA) on an optimized crystal structure of Hf4FeCo.

Cell and atoms, written as CIF:
```
data_Hf4FeCo
_cell_length_a 6.216
_cell_length_b 6.216
_cell_length_c 5.620
_cell_angle_alpha 90.00
_cell_angle_beta 90.00
_cell_angle_gamma 90.00
_symmetry_space_group_name_H-M 'I 4 2 2'
_symmetry_Int_Tables_number 97
_symmetry_space_group_name_Hall 'I 4 2'
loop_
_atom_site_label
_atom_site_type_symbol
_atom_site_fract_x
_atom_site_fract_y
_atom_site_fract_z
Hf1 Hf 0.178 0.322 0.250
Fe1 Fe 0.000 0.000 0.000
Co1 Co 0.000 0.000 0.500
```

Computed properties:
Density of states at the Fermi level   10.54 states/eV/cell

***

Version Q
VASP calculation (PBE-GGA) on an optimized crystal structure of Hf4FeCo.

Cell and atoms, written as CIF:
```
data_Hf4FeCo
_cell_length_a 8.487
_cell_length_b 8.487
_cell_length_c 6.964
_cell_angle_alpha 90.00
_cell_angle_beta 90.00
_cell_angle_gamma 90.00
_symmetry_space_group_name_H-M 'I 41 m d'
_symmetry_Int_Tables_number 109
_symmetry_space_group_name_Hall 'I 4bw -2'
loop_
_atom_site_label
_atom_site_type_symbol
_atom_site_fract_x
_atom_site_fract_y
_atom_site_fract_z
Hf1 Hf 0.000 0.197 0.000
Hf2 Hf 0.000 0.225 0.514
Fe1 Fe 0.000 0.000 0.280
Co1 Co 0.000 0.000 0.732
```

Computed properties:
Density of states at the Fermi level   25.73 states/eV/cell

***

The data favor version P; the next most stable structure lies 37.8 kJ/mol of atoms above it.

***

Version P
VASP calculation (PBE-GGA) on an optimized crystal structure of Hf2FeCo3.

Cell and atoms, written as CIF:
```
data_Hf2FeCo3
_cell_length_a 4.9425
_cell_length_b 4.9425
_cell_length_c 11.6800
_cell_angle_alpha 90.00
_cell_angle_beta 90.00
_cell_angle_gamma 120.00
_symmetry_space_group_name_H-M 'R -3 m'
_symmetry_Int_Tables_number 166
_symmetry_space_group_name_Hall '-R 3 2"'
loop_
_atom_site_label
_atom_site_type_symbol
_atom_site_fract_x
_atom_site_fract_y
_atom_site_fract_z
Hf1 Hf 0.0000 0.0000 0.1268
Fe1 Fe 0.0000 0.0000 0.5000
Co1 Co 0.0000 0.5000 0.0000
```

Computed properties:
Density of states at the Fermi level   20.79 states/eV/cell

***

Version Q
VASP calculation (PBE-GGA) on an optimized crystal structure of Hf2FeCo3.

Cell and atoms, written as CIF:
```
data_Hf2FeCo3
_cell_length_a 4.219
_cell_length_b 4.825
_cell_length_c 8.821
_cell_angle_alpha 90.00
_cell_angle_beta 90.00
_cell_angle_gamma 90.00
_symmetry_space_group_name_H-M 'I m m m'
_symmetry_Int_Tables_number 71
_symmetry_space_group_name_Hall '-I 2 2'
loop_
_atom_site_label
_atom_site_type_symbol
_atom_site_fract_x
_atom_site_fract_y
_atom_site_fract_z
Hf1 Hf 0.000 0.000 0.188
Fe1 Fe 0.000 0.000 0.500
Co1 Co 0.000 0.500 0.133
Co2 Co 0.000 0.500 0.500
```

Computed properties:
Density of states at the Fermi level   9.93 states/eV/cell

***

The data favor version P; the next most stable structure lies 42.7 kJ/mol of atoms above it.